VASP calculation (PBE+U) on a geometry-optimized Al2CrF structure.

a b c (Å): 6.8417 6.8417 5.5355
angles (deg): 90.00 90.00 90.00
Space group I-42d (No. 122)
Symmetry-distinct sites (fractional):
Al 0.1885 0.2500 0.1250 (multiplicity 8)
Cr 0.0000 0.0000 0.5000 (multiplicity 4)
F 0.0000 0.0000 0.0000 (multiplicity 4)

Output
Distance to the lowest polymorph of the same formula (eV per atom): 0.000
DOS at the Fermi energy (states/eV/cell): 7.768
Total DFT energy (no corrections) (eV/atom): -4.5355
Total magnetic moment (μB/cell): 16.6